[1]
LiScCr2 | PBE | optimized geometry

energy of formation	0.609	eV/atom

a b c (Å): 4.9802 9.0932 2.5294
angles (deg): 90.00 90.00 90.00
With the nearest neighbours (Å) after each atom.
Space group Cmmm (No. 65)
One atom of each set of equivalent atoms:
Li 0.0000 0.0000 0.0000  2 Sc 2.49, 2 Li 2.53
Sc 0.0000 0.5000 0.0000  2 Li 2.49, 2 Sc 2.53
Cr 0.2500 0.2500 0.5000  4 Cr 2.49-2.53



[2]
CaOs2W | PBE | optimized geometry

energy of formation	0.263	eV/atom

a b c (Å): 3.1157 3.1157 7.3270
angles (deg): 90.00 90.00 90.00
With the nearest neighbours (Å) after each atom.
Space group P4/mmm (No. 123)
One atom of each set of equivalent atoms:
Ca 0.0000 0.0000 0.0000  8 Os 3.09, 4 Ca 3.12
Os 0.5000 0.5000 0.2956  4 W 2.66
W 0.0000 0.0000 0.5000  8 Os 2.66



[3]
Ca2AcMgHg4 | PBE | optimized geometry

energy of formation	-0.454	eV/atom

a b c (Å): 5.2804 5.2804 27.7101
angles (deg): 90.00 90.00 120.00
With the nearest neighbours (Å) after each atom.
Space group R-3m (No. 166, hexagonal axes)
One atom of each set of equivalent atoms:
Ca 0.0000 0.0000 0.2403  7 Hg 3.16-3.26
Ac 0.0000 0.0000 0.0000  8 Hg 3.37-3.49
Mg 0.0000 0.0000 0.5000  8 Hg 3.18-3.25
Hg 0.0000 0.0000 0.1261  4 Ca 3.16-3.18, 3 Mg 3.25, 1 Ac 3.49
Hg 0.0000 0.0000 0.3851  1 Mg 3.18, 3 Ca 3.26, 3 Ac 3.37



[4]
RbSrPb2 | PBE | optimized geometry

energy of formation	-0.187	eV/atom

a b c (Å): 6.0393 6.0393 4.1455
angles (deg): 90.00 90.00 90.00
With the nearest neighbours (Å) after each atom.
Space group P4/mmm (No. 123)
One atom of each set of equivalent atoms:
Rb 0.0000 0.0000 0.0000  8 Pb 3.66
Sr 0.5000 0.5000 0.0000  8 Pb 3.66
Pb 0.0000 0.5000 0.5000  4 Rb 3.66, 4 Sr 3.66



[5]
Tb7Ho16Er6 | PBE | optimized geometry

energy of formation	0.255	eV/atom

a b c (Å): 15.5945 15.5945 15.5945
angles (deg): 90.00 90.00 90.00
With the nearest neighbours (Å) after each atom.
Space group Fm-3m (No. 225)
One atom of each set of equivalent atoms:
Tb 0.0000 0.0000 0.0000  8 Ho 3.35
Tb 0.0000 0.2500 0.2500  8 Ho 3.21-3.39
Ho 0.1240 0.1240 0.1240  4 Tb 3.35-3.39, 3 Ho 3.56, 3 Er 3.59
Ho 0.1511 0.1511 0.3489  3 Tb 3.21, 3 Er 3.54, 3 Ho 3.56
Er 0.0000 0.0000 0.2730  8 Ho 3.54-3.59, 4 Tb 3.92



[6]
Ca4Cd5In | PBE | optimized geometry

energy of formation	-0.318	eV/atom

a b c (Å): 16.0676 5.2905 6.6271
angles (deg): 90.00 105.93 90.00
With the nearest neighbours (Å) after each atom.
Space group C2/m (No. 12)
One atom of each set of equivalent atoms:
Ca 0.1001 0.0000 0.3934  6 Cd 3.22-3.40, 2 In 3.27
Ca 0.1948 0.5000 0.8092  7 Cd 3.23-3.38, 1 In 3.24
Cd 0.0000 0.5000 0.0000  6 Cd 3.21-3.29, 2 In 3.31
Cd 0.0959 0.0000 0.9030  2 Cd 3.21, 6 Ca 3.22-3.40
Cd 0.1990 0.5000 0.3076  7 Ca 3.22-3.35, 1 Cd 3.29
In 0.0000 0.5000 0.5000  6 Ca 3.24-3.27, 2 Cd 3.31



[7]
Tb9CeIn2 | PBE | optimized geometry

energy of formation	-0.146	eV/atom

a b c (Å): 4.8765 4.8765 14.9768
angles (deg): 90.00 90.00 90.00
With the nearest neighbours (Å) after each atom.
Space group P4/mmm (No. 123)
One atom of each set of equivalent atoms:
Tb 0.0000 0.0000 0.0000  4 Ce 3.45, 8 Tb 3.55
Tb 0.0000 0.0000 0.3378  8 Tb 3.44-3.48, 4 In 3.45
Tb 0.0000 0.5000 0.1720  8 Tb 3.45-3.55, 2 In 3.48, 2 Ce 3.55
Tb 0.0000 0.5000 0.5000  4 In 3.44, 8 Tb 3.44-3.45
Ce 0.5000 0.5000 0.0000  12 Tb 3.45-3.55
In 0.5000 0.5000 0.3382  12 Tb 3.44-3.48



[8]
Zr2Ti5ZnOs2 | PBE | optimized geometry

energy of formation	-0.210	eV/atom

a b c (Å): 10.7198 10.7198 3.1335
angles (deg): 90.00 90.00 90.00
With the nearest neighbours (Å) after each atom.
Space group P4/mbm (No. 127)
One atom of each set of equivalent atoms:
Zr 0.1788 0.3212 0.0000  1 Os 2.82, 2 Ti 3.13, 2 Zr 3.13
Ti 0.0000 0.5000 0.5000  4 Os 2.58
Ti 0.0500 0.8016 0.5000  2 Os 2.54, 2 Zn 2.70
Zn 0.0000 0.0000 0.0000  8 Ti 2.70
Os 0.1353 0.6353 0.0000  6 Ti 2.54-2.58, 1 Zr 2.82



[9]
Ba2FeSe | PBE | optimized geometry

raw formation energy	-370	meV per atom

a b c (Å): 4.7054 4.7054 6.6099
angles (deg): 90.00 90.00 90.00
With the nearest neighbours (Å) after each atom.
Space group P4/mmm (No. 123)
One atom of each set of equivalent atoms:
Ba 0.0000 0.0000 0.0000  2 Fe 3.30, 4 Se 3.33
Ba 0.5000 0.5000 0.5000  2 Se 3.30, 4 Fe 3.33
Fe 0.0000 0.0000 0.5000  6 Ba 3.30-3.33
Se 0.5000 0.5000 0.0000  6 Ba 3.30-3.33



[10]
Pm2YAu | PBE | optimized geometry

energy of formation	-0.355	eV/atom

a b c (Å): 3.7243 3.7243 8.5222
angles (deg): 90.00 90.00 90.00
With the nearest neighbours (Å) after each atom.
Space group P4/mmm (No. 123)
One atom of each set of equivalent atoms:
Pm 0.0000 0.0000 0.2092  4 Au 3.18
Y 0.5000 0.5000 0.5000  8 Pm 3.62, 4 Y 3.72
Au 0.5000 0.5000 0.0000  8 Pm 3.18